[1]
{
  "formula": "Sr2BePtI",
  "functional": "GGA-PBE",
  "state": "relaxed",
  "magnetic_moment_mub_per_fu": 0.00,
  "dos_at_fermi_per_ev_cell": 3.8,
  "spacegroup": "P4/mmm, No. 123",
  "formation_energy_uncorrected_ev_per_atom": -0.688,
  "lattice_angstrom": [[-5.529, -1.703, 1.645], [1.860, -5.709, 0.342], [1.054, 0.592, 4.156]],
  "species": ["I", "Pt", "Sr", "Sr", "Be"],
  "fractional_positions": [[0.500, 0.500, 0.500], [0.000, 0.000, 0.000], [0.500, 0.000, 0.000], [0.000, 0.500, 0.000], [0.000, 0.000, 0.500]]
}



[2]
{
  "formula": "Ta2RhAu",
  "functional": "GGA-PBE",
  "state": "relaxed",
  "formation_enthalpy_0k_mev_per_atom": -281,
  "magnetic_moment_mub_per_fu": 0.00,
  "dos_at_fermi_per_ev_cell": 2.2,
  "spacegroup": "Pmm2, No. 25",
  "lattice_angstrom": [[3.279, 0.000, 0.000], [0.000, 3.358, 0.000], [0.000, 0.000, 6.212]],
  "species": ["Ta", "Ta", "Au", "Rh"],
  "fractional_positions": [[0.000, 0.000, 0.975], [0.500, 0.500, 0.257], [0.000, 0.000, 0.500], [0.500, 0.500, 0.768]]
}



[3]
{
  "formula": "Th2TeRh2",
  "functional": "GGA-PBE",
  "state": "relaxed",
  "magnetic_moment_mub_per_fu": 0.00,
  "dos_at_fermi_per_ev_cell": 3.6,
  "spacegroup": "P4/mbm, No. 127",
  "formation_energy_uncorrected_ev_per_atom": -1.022,
  "lattice_angstrom": [[-0.514, 3.444, -1.542], [-6.123, 1.185, 4.688], [4.719, 3.111, 5.378]],
  "species": ["Te", "Te", "Rh", "Rh", "Rh", "Rh", "Th", "Th", "Th", "Th"],
  "fractional_positions": [[0.000, 0.000, 0.000], [0.000, 0.500, 0.500], [0.000, 0.871, 0.629], [0.000, 0.129, 0.371], [0.000, 0.629, 0.129], [0.000, 0.371, 0.871], [0.500, 0.673, 0.827], [0.500, 0.327, 0.173], [0.500, 0.173, 0.673], [0.500, 0.827, 0.327]]
}